(1)
Entry from Alexandria via LeMat-Bulk: a geometry-optimized Rb3UPb2S6 structure (PBE-GGA).

Lattice parameters (Å, degrees): 7.408 12.803 7.958 90.00 108.06 90.00
Space group C2/m (No. 12)
Asymmetric unit:
Rb  0.000  0.000  0.000 [2 per cell]
Rb  0.000  0.325  0.000 [4 per cell]
U  0.000  0.500  0.500 [2 per cell]
Pb  0.000  0.166  0.500 [4 per cell]
S  0.214  0.351  0.696 [8 per cell]
S  0.231  0.500  0.302 [4 per cell]

Computed properties:
energy relative to the elements, uncorrected: -1.113 eV/atom

(2)
Entry from Alexandria via LeMat-Bulk: a geometry-optimized Ac2TbPr8 structure (PBE-GGA).

Lattice parameters (Å, degrees): 13.535 7.117 8.879 90.00 103.03 90.00
Space group C2/m (No. 12)
Asymmetric unit:
Ac  0.169  0.000  0.201 [4 per cell]
Tb  0.000  0.000  0.500 [2 per cell]
Pr  0.060  0.272  0.839 [8 per cell]
Pr  0.123  0.500  0.487 [4 per cell]
Pr  0.227  0.500  0.179 [4 per cell]

Computed properties:
E_form: 0.151 eV/atom
E above lowest polymorph: 0.013 eV/atom

no.,total magnetic moment (μB per formula unit)
1,1.0
2,0.0